*w*
Material: Mn2NbC
Method: DFT, PBE
State: relaxed

CIF file:
```
data_Mn2NbC
_chemical_formula_sum 'Mn8 Nb4 C4'
_cell_length_a 5.634
_cell_length_b 5.634
_cell_length_c 5.634
_cell_angle_alpha 90.00
_cell_angle_beta 90.00
_cell_angle_gamma 90.00
_symmetry_space_group_name_H-M 'F m -3 m'
_symmetry_Int_Tables_number 225
_symmetry_space_group_name_Hall '-F 4 2 3'
loop_
_atom_site_label
_atom_site_fract_x
_atom_site_fract_y
_atom_site_fract_z
_atom_site_occupancy
Mn1 0.250 0.250 0.250 1
Nb1 0.000 0.000 0.000 1
C1 0.000 0.000 0.500 1
```

=====

*x*
Material: Mn2NbC
Method: DFT, PBE
State: relaxed

CIF file:
```
data_Mn2NbC
_chemical_formula_sum 'Mn8 Nb4 C4'
_cell_length_a 6.518
_cell_length_b 6.518
_cell_length_c 4.540
_cell_angle_alpha 90.00
_cell_angle_beta 90.00
_cell_angle_gamma 90.00
_symmetry_space_group_name_H-M 'I -4 2 d'
_symmetry_Int_Tables_number 122
_symmetry_space_group_name_Hall 'I -4 2bw'
loop_
_atom_site_label
_atom_site_fract_x
_atom_site_fract_y
_atom_site_fract_z
_atom_site_occupancy
Mn1 0.133 0.250 0.125 1
Nb1 0.000 0.000 0.500 1
C1 0.000 0.000 0.000 1
```

=====

Question: of the structures shown, which is the most stable? Reply: *x*.